[1]
# Mg2Cu2Rh PBE optimized geometry
data_Mg2Cu2Rh
_chemical_formula_sum 'Mg4 Cu4 Rh2'
_cell_length_a 3.2901
_cell_length_b 3.2901
_cell_length_c 14.9049
_cell_angle_alpha 90.00
_cell_angle_beta 90.00
_cell_angle_gamma 90.00
_space_group_name_H-M_alt 'I 4/m m m'
_space_group_IT_number 139
_space_group_name_Hall '-I 4 2'
loop_
_atom_site_label
_atom_site_fract_x
_atom_site_fract_y
_atom_site_fract_z
_atom_site_occupancy
Mg1 0.0000 0.0000 0.0980 1
Cu1 0.0000 0.5000 0.2500 1
Rh1 0.0000 0.0000 0.5000 1
# - Energy above the most stable polymorph in this dataset: 2.53 kcal/mol of atoms
# - Formation energy from the elements: -0.10 eV/atom
# - Electronic total energy: -38.45 eV/cell
# - Magnetic moment: 0.00 μB per formula unit

=====

[2]
# MgCuRh2 PBE optimized geometry
data_MgCuRh2
_chemical_formula_sum 'Mg4 Cu4 Rh8'
_cell_length_a 6.1544
_cell_length_b 6.1544
_cell_length_c 6.1544
_cell_angle_alpha 90.00
_cell_angle_beta 90.00
_cell_angle_gamma 90.00
_space_group_name_H-M_alt 'F -4 3 m'
_space_group_IT_number 216
_space_group_name_Hall 'F -4 2 3'
loop_
_atom_site_label
_atom_site_fract_x
_atom_site_fract_y
_atom_site_fract_z
_atom_site_occupancy
Mg1 0.0000 0.0000 0.0000 1
Cu1 0.2500 0.2500 0.2500 1
Rh1 0.0000 0.0000 0.5000 1
Rh2 0.2500 0.2500 0.7500 1
# - Formation energy from the elements: -0.10 eV/atom
# - Electronic total energy: -83.16 eV/cell
# - Magnetic moment: 1.22 μB per formula unit